1.
4
Lattice="0.000 3.124 3.124 3.124 0.000 3.124 3.124 3.124 0.000" Properties=species:S:1:pos:R:3 comment="Si2AgRh (PBE, optimized geometry)" formation_energy_uncorrected_ev_per_atom=0.27 space_group="F-43m (216)" final_energy_ev_per_atom=-5.00 relative_energy_ev_per_atom=0.435 n_ef_per_ev_fu=2.46 pbc="T T T"
Si 0.000 0.000 0.000
Si 1.562 1.562 1.562
Ag 3.124 3.124 3.124
Rh 4.686 4.686 4.686

=====

2.
4
Lattice="3.683 0.000 0.000 0.000 3.683 0.000 0.000 0.000 3.502" Properties=species:S:1:pos:R:3 comment="Cr2CuP (PBE, optimized geometry)" space_group="P4/mmm (123)" final_energy_ev_per_atom=-7.08 n_ef_per_ev_fu=4.40 pbc="T T T"
Cr 0.000 1.842 0.000
Cr 1.842 0.000 0.000
Cu 0.000 0.000 1.751
P 1.842 1.842 1.751

=====

3.
4
Lattice="-1.754 2.260 6.249 1.754 -2.260 6.249 1.754 2.260 -6.249" Properties=species:S:1:pos:R:3 comment="RhSe2Br (PBE, optimized geometry)" formation_energy_uncorrected_ev_per_atom=-0.06 space_group="Imm2 (44)" final_energy_ev_per_atom=-4.06 relative_energy_ev_per_atom=0.248 n_ef_per_ev_fu=1.58 pbc="T T T"
Rh 0.000 0.000 0.000
Se 0.000 0.000 5.868
Se 0.000 2.260 4.576
Br 1.754 0.000 1.999

=====

4.
5
Lattice="5.681 0.000 0.000 0.000 5.681 0.000 0.000 0.000 3.905" Properties=species:S:1:pos:R:3 comment="InReSn2O (PBE, optimized geometry)" formation_energy_uncorrected_ev_per_atom=1.10 space_group="P4/mmm (123)" final_energy_ev_per_atom=-4.53 n_ef_per_ev_fu=3.39 pbc="T T T"
In 0.000 0.000 0.000
Re 2.841 2.841 1.952
Sn 0.000 2.841 0.000
Sn 2.841 0.000 0.000
O 0.000 0.000 1.952